Record 1
A relaxed structure of Sc2Ge2C. Source: Alexandria, functional GGA-PBE.

Values from the calculation:
Excess energy over the best structure of this formula in the dataset (eV/atom): 0.330
Total DFT energy (no corrections) (eV/atom): -6.0062
Energy of formation from the pure elements (eV/atom): 0.218
SG: P4/mbm, No. 127
Density (g cm⁻³): 4.8

Unit cell a=6.4874 b=6.4874 c=4.0305 alpha=90.00 beta=90.00 gamma=90.00
Last column: nearest neighbours and their distance in Å.
Positions (direct):
Sc 0.1725 0.3275 0.0000  6 Ge 2.66-2.86
Sc 0.3275 0.8275 0.0000  6 Ge 2.66-2.86
Sc 0.6725 0.1725 0.0000  6 Ge 2.66-2.86
Sc 0.8275 0.6725 0.0000  6 Ge 2.66-2.86
Ge 0.1387 0.6387 0.5000  2 C 2.51, 1 Ge 2.54, 2 Sc 2.66
Ge 0.3613 0.1387 0.5000  2 C 2.51, 1 Ge 2.54, 2 Sc 2.66
Ge 0.6387 0.8613 0.5000  2 C 2.51, 1 Ge 2.54, 2 Sc 2.66
Ge 0.8613 0.3613 0.5000  2 C 2.51, 1 Ge 2.54, 2 Sc 2.66
C 0.0000 0.0000 0.5000  4 Ge 2.51
C 0.5000 0.5000 0.5000  4 Ge 2.51


Record 2
A relaxed structure of ScGe2C2. Source: Alexandria, functional GGA-PBE.

Values from the calculation:
Excess energy over the best structure of this formula in the dataset (eV/atom): 0.193
Total DFT energy (no corrections) (eV/atom): -5.7909
Energy of formation from the pure elements (eV/atom): 1.012
SG: P4/mbm, No. 127
Density (g cm⁻³): 4.6

Unit cell a=7.0116 b=7.0116 c=3.1141 alpha=90.00 beta=90.00 gamma=90.00
Last column: nearest neighbours and their distance in Å.
Positions (direct):
Sc 0.0000 0.0000 0.0000  4 Ge 2.80, 8 C 2.93, 2 Sc 3.11
Sc 0.5000 0.5000 0.0000  4 Ge 2.80, 8 C 2.93, 2 Sc 3.11
Ge 0.1190 0.3810 0.0000  2 C 1.91
Ge 0.3810 0.8810 0.0000  2 C 1.91
Ge 0.6190 0.1190 0.0000  2 C 1.91
Ge 0.8810 0.6190 0.0000  2 C 1.91
C 0.2306 0.2694 0.5000  2 Ge 1.91
C 0.2694 0.7694 0.5000  2 Ge 1.91
C 0.7306 0.2306 0.5000  2 Ge 1.91
C 0.7694 0.7306 0.5000  2 Ge 1.91


Record 3
A relaxed structure of Sc6Ge3C2. Source: Alexandria, functional GGA-PBE.

Values from the calculation:
Total DFT energy (no corrections) (eV/atom): -6.9596
Energy of formation from the pure elements (eV/atom): -0.570
SG: I4/mmm, No. 139
Density (g cm⁻³): 4.0

Unit cell a=11.4349 b=11.4349 c=11.4349 alpha=157.98 beta=157.98 gamma=31.34
Last column: nearest neighbours and their distance in Å.
Positions (direct):
Sc 0.0823 0.5823 0.5000  2 C 2.22
Sc 0.1973 0.1973 0.0000  1 C 2.12
Sc 0.4177 0.9177 0.5000  2 C 2.22
Sc 0.5823 0.0823 0.5000  2 C 2.22
Sc 0.8027 0.8027 0.0000  1 C 2.12
Sc 0.9177 0.4177 0.5000  2 C 2.22
Ge 0.3238 0.3238 0.0000  5 Sc 2.79-3.01
Ge 0.5000 0.5000 0.0000  8 Sc 2.84
Ge 0.6762 0.6762 0.0000  5 Sc 2.79-3.01
C 0.1012 0.1012 0.0000  5 Sc 2.12-2.22
C 0.8988 0.8988 0.0000  5 Sc 2.12-2.22